# 1
An optimized crystal structure of KTeCl4, computed with PBE-GGA.

a b c (Å): 6.2926 6.2926 6.2926
angles (deg): 60.00 60.00 60.00
Closest atoms and distances in Å follow each position.
Fractional positions:
Cl1 0.3749 0.3749 0.8753  6 Cl 3.14-3.15
Cl2 0.3749 0.8753 0.3749  6 Cl 3.14-3.15
Cl3 0.8753 0.3749 0.3749  6 Cl 3.14-3.15
Cl4 0.3749 0.3749 0.3749  6 Cl 3.14-3.15
K1 0.7500 0.7500 0.7500  12 Cl 3.69, 4 Te 3.85
Te1 0.0000 0.0000 0.0000  12 Cl 3.69, 4 K 3.85

Summary:
The calculation puts the offset from the most stable computed form at 987 meV per atom. The space-group type is F-43m. As for the crystal system: cubic. The value obtained for the uncorrected formation energy is -13 meV per atom.

***

# 2
An optimized crystal structure of K2Te2Cl7, computed with PBE-GGA.

a b c (Å): 7.8744 7.1144 7.1144
angles (deg): 103.15 94.54 94.54
Closest atoms and distances in Å follow each position.
Fractional positions:
Cl1 0.2582 0.4493 0.1137  1 Te 2.62
Cl2 0.7418 0.8863 0.5507  1 Te 2.62
Cl3 0.7418 0.5507 0.8863  1 Te 2.62
Cl4 0.2582 0.1137 0.4493  1 Te 2.62
Cl5 0.5000 0.0000 0.0000  2 Te 2.85
Cl6 0.1842 0.6495 0.6495  1 Te 2.53
Cl7 0.8158 0.3505 0.3505  1 Te 2.53
K1 0.0000 0.2514 0.7486  6 Cl 3.11-3.32
K2 0.0000 0.7486 0.2514  6 Cl 3.11-3.32
Te1 0.4918 0.3208 0.3208  3 Cl 2.53-2.62
Te2 0.5082 0.6792 0.6792  3 Cl 2.53-2.62

Summary:
The space-group type is C2/m. As for the crystal system: monoclinic. The value obtained for the uncorrected formation energy is -901 meV per atom.

***

# 3
An optimized crystal structure of K6TeCl12, computed with PBE-GGA.

a b c (Å): 8.8166 8.8166 8.8166
angles (deg): 97.53 97.53 97.53
Closest atoms and distances in Å follow each position.
Fractional positions:
K1 0.7143 0.8400 0.3757  7 Cl 3.12-3.42
K2 0.8400 0.3757 0.7143  7 Cl 3.12-3.42
K3 0.1600 0.6243 0.2857  7 Cl 3.12-3.42
K4 0.3757 0.7143 0.8400  7 Cl 3.12-3.42
K5 0.6243 0.2857 0.1600  7 Cl 3.12-3.42
K6 0.2857 0.1600 0.6243  7 Cl 3.12-3.42
Cl1 0.0161 0.7087 0.9462  1 Te 2.58
Cl2 0.8485 0.5331 0.4173  1 Cl 3.04, 4 K 3.12-3.20
Cl3 0.4669 0.5827 0.1515  1 Cl 3.04, 4 K 3.12-3.20
Cl4 0.7087 0.9462 0.0161  1 Te 2.58
Cl5 0.9839 0.2913 0.0538  1 Te 2.58
Cl6 0.5331 0.4173 0.8485  1 Cl 3.04, 4 K 3.12-3.20
Cl7 0.2913 0.0538 0.9839  1 Te 2.58
Cl8 0.0538 0.9839 0.2913  1 Te 2.58
Cl9 0.9462 0.0161 0.7087  1 Te 2.58
Cl10 0.4173 0.8485 0.5331  1 Cl 3.04, 4 K 3.12-3.20
Cl11 0.5827 0.1515 0.4669  1 Cl 3.04, 4 K 3.12-3.20
Cl12 0.1515 0.4669 0.5827  1 Cl 3.04, 4 K 3.12-3.20
Te1 0.0000 0.0000 0.0000  6 Cl 2.58

Summary:
The space-group type is R-3. As for the crystal system: trigonal. The value obtained for the uncorrected formation energy is -1330 meV per atom.

***

# 4
An optimized crystal structure of KTe2Cl8, computed with PBE-GGA.

a b c (Å): 5.4851 9.3217 9.3220
angles (deg): 120.00 90.00 90.00
Closest atoms and distances in Å follow each position.
Fractional positions:
Cl1 0.7301 0.3598 0.1810  1 Te 2.48
Cl2 0.2699 0.6402 0.8190  1 Te 2.48
Cl3 0.2699 0.1809 0.8210  1 Te 2.48
Cl4 0.7639 0.3334 0.6667  2 Te 2.73-2.76
Cl5 0.7301 0.8191 0.1790  1 Te 2.48
Cl6 0.2698 0.1790 0.3599  1 Te 2.48
Cl7 0.2361 0.6666 0.3333  2 Te 2.73-2.76
Cl8 0.7302 0.8210 0.6400  1 Te 2.48
K1 0.0000 0.0000 0.0000  6 Cl 3.26
Te1 0.2615 0.3334 0.6667  5 Cl 2.48-2.76
Te2 0.7385 0.6666 0.3333  5 Cl 2.48-2.76

Summary:
The space-group type is P-3. As for the crystal system: trigonal. The value obtained for the uncorrected formation energy is -708 meV per atom.

***

# 5
An optimized crystal structure of K2TeCl, computed with PBE-GGA.

a b c (Å): 5.8349 5.8349 5.8349
angles (deg): 60.00 60.00 60.00
Closest atoms and distances in Å follow each position.
Fractional positions:
K1 0.2500 0.2500 0.2500  4 Cl 3.57, 4 K 3.57
K2 0.0000 0.0000 0.0000  4 Te 3.57, 4 K 3.57
Cl1 0.5000 0.5000 0.5000  4 K 3.57, 4 Te 3.57
Te1 0.7500 0.7500 0.7500  4 Cl 3.57, 4 K 3.57

Summary:
The calculation puts the offset from the most stable computed form at 524 meV per atom. The space-group type is F-43m. As for the crystal system: cubic. The value obtained for the uncorrected formation energy is -772 meV per atom.

***

# 6
An optimized crystal structure of K2TeCl, computed with PBE-GGA.

a b c (Å): 4.5059 4.5059 9.1765
angles (deg): 79.37 79.37 50.28
Closest atoms and distances in Å follow each position.
Fractional positions:
K1 0.5136 0.5136 0.4653  3 Cl 3.12-3.20
K2 0.9864 0.9864 0.0347  3 Cl 3.12-3.20
Te1 0.7500 0.7500 0.7500  6 K 3.55-3.58, 2 Te 3.83
Cl1 0.2500 0.2500 0.2500  6 K 3.12-3.20

Summary:
The calculation puts the offset from the most stable computed form at 49 meV per atom. The space-group type is C2/m. As for the crystal system: monoclinic. The value obtained for the uncorrected formation energy is -1247 meV per atom.

***

# 7
An optimized crystal structure of K2TeCl6, computed with PBE-GGA.

a b c (Å): 7.3408 7.3408 7.3408
angles (deg): 60.00 60.00 60.00
Closest atoms and distances in Å follow each position.
Fractional positions:
Cl1 0.7535 0.2465 0.7535  1 Te 2.56
Cl2 0.2465 0.2465 0.7535  1 Te 2.56
Cl3 0.7535 0.7535 0.2465  1 Te 2.56
Cl4 0.2465 0.7535 0.2465  1 Te 2.56
Cl5 0.7535 0.2465 0.2465  1 Te 2.56
Cl6 0.2465 0.7535 0.7535  1 Te 2.56
K1 0.2500 0.2500 0.2500  12 Cl 3.67
K2 0.7500 0.7500 0.7500  12 Cl 3.67
Te1 0.0000 0.0000 0.0000  6 Cl 2.56

Summary:
The calculation puts the offset from the most stable computed form at 22 meV per atom. The space-group type is Fm-3m. As for the crystal system: cubic. The value obtained for the uncorrected formation energy is -1240 meV per atom.

***

# 8
An optimized crystal structure of KTeCl2, computed with PBE-GGA.

a b c (Å): 9.2160 9.2160 9.2160
angles (deg): 26.80 26.80 26.80
Closest atoms and distances in Å follow each position.
Fractional positions:
K1 0.5000 0.5000 0.5000  6 Cl 3.08
Cl1 0.0977 0.0977 0.0977  1 Te 2.60
Cl2 0.9023 0.9023 0.9023  1 Te 2.60
Te1 0.0000 0.0000 0.0000  2 Cl 2.60

Summary:
The calculation puts the offset from the most stable computed form at 0 meV per atom. The space-group type is R-3m. As for the crystal system: trigonal. The value obtained for the uncorrected formation energy is -940 meV per atom.

***

Which formula does entry 6 have?
K2TeCl

***

What did the seventh record say?
An optimized crystal structure of K2TeCl6, computed with PBE-GGA.

a b c (Å): 7.3408 7.3408 7.3408
angles (deg): 60.00 60.00 60.00
Closest atoms and distances in Å follow each position.
Fractional positions:
Cl1 0.7535 0.2465 0.7535  1 Te 2.56
Cl2 0.2465 0.2465 0.7535  1 Te 2.56
Cl3 0.7535 0.7535 0.2465  1 Te 2.56
Cl4 0.2465 0.7535 0.2465  1 Te 2.56
Cl5 0.7535 0.2465 0.2465  1 Te 2.56
Cl6 0.2465 0.7535 0.7535  1 Te 2.56
K1 0.2500 0.2500 0.2500  12 Cl 3.67
K2 0.7500 0.7500 0.7500  12 Cl 3.67
Te1 0.0000 0.0000 0.0000  6 Cl 2.56

Summary:
The calculation puts the offset from the most stable computed form at 22 meV per atom. The space-group type is Fm-3m. As for the crystal system: cubic. The value obtained for the uncorrected formation energy is -1240 meV per atom.

***

Which of these has the lowest uncorrected formation energy?
K6TeCl12

***

Please write out number 8 again, unchanged.
An optimized crystal structure of KTeCl2, computed with PBE-GGA.

a b c (Å): 9.2160 9.2160 9.2160
angles (deg): 26.80 26.80 26.80
Closest atoms and distances in Å follow each position.
Fractional positions:
K1 0.5000 0.5000 0.5000  6 Cl 3.08
Cl1 0.0977 0.0977 0.0977  1 Te 2.60
Cl2 0.9023 0.9023 0.9023  1 Te 2.60
Te1 0.0000 0.0000 0.0000  2 Cl 2.60

Summary:
The calculation puts the offset from the most stable computed form at 0 meV per atom. The space-group type is R-3m. As for the crystal system: trigonal. The value obtained for the uncorrected formation energy is -940 meV per atom.